Record 1
Density functional theory data (PBE-GGA) for crystalline Ca2PrEu at its relaxed geometry.

POSCAR file:
```
Ca2PrEu
1.0
0.000 4.307 4.307
4.307 0.000 4.307
4.307 4.307 0.000
Ca Pr Eu
2 1 1
Direct
0.250 0.250 0.250
0.750 0.750 0.750
0.000 0.000 0.000
0.500 0.500 0.500
```

Values from the calculation:
The value obtained for the uncorrected energy is -18.7 eV per cell. The calculation puts the energy relative to the elements at 0.09 eV/atom. The calculation puts the offset from the most stable computed form at 24 meV per atom. As for the space-group type: Fm-3m, No. 225. The density of states at the Fermi level is 11.9 states/eV/f.u.

Record 2
Density functional theory data (PBE-GGA) for crystalline Ca2PrEu at its relaxed geometry.

POSCAR file:
```
Ca2PrEu
1.0
1.849 1.067 13.644
-1.849 1.067 13.644
0.000 -2.134 13.644
Ca Pr Eu
2 1 1
Direct
0.087 0.087 0.087
0.913 0.913 0.913
0.000 0.000 0.000
0.500 0.500 0.500
```

Values from the calculation:
The value obtained for the uncorrected energy is -18.3 eV per cell. The calculation puts the energy relative to the elements at 0.18 eV/atom. The calculation puts the offset from the most stable computed form at 121 meV per atom. As for the space-group type: R-3m, No. 166. The density of states at the Fermi level is 5.9 states/eV/f.u.

Record 3
Density functional theory data (PBE-GGA) for crystalline CaPrEuSc at its relaxed geometry.

POSCAR file:
```
CaPrEuSc
1.0
0.000 4.109 4.109
4.109 0.000 4.109
4.109 4.109 0.000
Ca Pr Eu Sc
1 1 1 1
Direct
0.000 0.000 0.000
0.250 0.250 0.250
0.750 0.750 0.750
0.500 0.500 0.500
```

Values from the calculation:
The value obtained for the uncorrected energy is -22.7 eV per cell. The calculation puts the energy relative to the elements at 0.17 eV/atom. As for the space-group type: F-43m, No. 216. The density of states at the Fermi level is 6.2 states/eV/f.u.

Record 4
Density functional theory data (PBE-GGA) for crystalline CaPrEuSn at its relaxed geometry.

POSCAR file:
```
CaPrEuSn
1.0
0.000 3.994 3.994
3.994 0.000 3.994
3.994 3.994 0.000
Ca Pr Eu Sn
1 1 1 1
Direct
0.000 0.000 0.000
0.250 0.250 0.250
0.750 0.750 0.750
0.500 0.500 0.500
```

Values from the calculation:
The value obtained for the uncorrected energy is -22.3 eV per cell. The calculation puts the energy relative to the elements at -0.31 eV/atom. As for the space-group type: F-43m, No. 216. The density of states at the Fermi level is 2.6 states/eV/f.u.

Record 5
Density functional theory data (PBE-GGA) for crystalline CaTbPrEu at its relaxed geometry.

POSCAR file:
```
CaTbPrEu
1.0
0.000 4.204 4.204
4.204 0.000 4.204
4.204 4.204 0.000
Ca Tb Pr Eu
1 1 1 1
Direct
0.000 0.000 0.000
0.500 0.500 0.500
0.250 0.250 0.250
0.750 0.750 0.750
```

Values from the calculation:
The value obtained for the uncorrected energy is -21.2 eV per cell. The calculation puts the energy relative to the elements at 0.12 eV/atom. As for the space-group type: F-43m, No. 216. The density of states at the Fermi level is 5.2 states/eV/f.u.

Record 6
Density functional theory data (PBE-GGA) for crystalline CaPrEuTl at its relaxed geometry.

POSCAR file:
```
CaPrEuTl
1.0
0.000 4.057 4.057
4.057 0.000 4.057
4.057 4.057 0.000
Ca Pr Eu Tl
1 1 1 1
Direct
0.000 0.000 0.000
0.750 0.750 0.750
0.250 0.250 0.250
0.500 0.500 0.500
```

Values from the calculation:
The value obtained for the uncorrected energy is -19.9 eV per cell. The calculation puts the energy relative to the elements at -0.12 eV/atom. As for the space-group type: F-43m, No. 216. The density of states at the Fermi level is 10.9 states/eV/f.u.

Record 7
Density functional theory data (PBE-GGA) for crystalline CaPrEuY at its relaxed geometry.

POSCAR file:
```
CaPrEuY
1.0
0.000 4.210 4.210
4.210 0.000 4.210
4.210 4.210 0.000
Ca Pr Eu Y
1 1 1 1
Direct
0.000 0.000 0.000
0.250 0.250 0.250
0.750 0.750 0.750
0.500 0.500 0.500
```

Values from the calculation:
The value obtained for the uncorrected energy is -23.0 eV per cell. The calculation puts the energy relative to the elements at 0.12 eV/atom. As for the space-group type: F-43m, No. 216. The density of states at the Fermi level is 5.5 states/eV/f.u.

Record 8
Density functional theory data (PBE-GGA) for crystalline CaPrEuZn at its relaxed geometry.

POSCAR file:
```
CaPrEuZn
1.0
0.000 3.953 3.953
3.953 0.000 3.953
3.953 3.953 0.000
Ca Pr Eu Zn
1 1 1 1
Direct
0.000 0.000 0.000
0.500 0.500 0.500
0.250 0.250 0.250
0.750 0.750 0.750
```

Values from the calculation:
The value obtained for the uncorrected energy is -18.1 eV per cell. The calculation puts the energy relative to the elements at 0.07 eV/atom. As for the space-group type: F-43m, No. 216. The density of states at the Fermi level is 4.4 states/eV/f.u.

Record 9
Density functional theory data (PBE-GGA) for crystalline Ca2EuPt at its relaxed geometry.

POSCAR file:
```
Ca2EuPt
1.0
3.625 0.000 0.000
0.000 3.625 0.000
0.000 0.000 9.532
Ca Eu Pt
2 1 1
Direct
0.000 0.000 0.172
0.000 0.000 0.828
0.500 0.500 0.500
0.500 0.500 0.000
```

Values from the calculation:
The value obtained for the uncorrected energy is -22.2 eV per cell. The calculation puts the energy relative to the elements at -0.48 eV/atom. The calculation puts the offset from the most stable computed form at 0 meV per atom. As for the space-group type: P4/mmm, No. 123. The density of states at the Fermi level is 2.1 states/eV/f.u.

Record 10
Density functional theory data (PBE-GGA) for crystalline CaEuPt at its relaxed geometry.

POSCAR file:
```
CaEuPt
1.0
0.000 3.539 3.539
3.539 0.000 3.539
3.539 3.539 0.000
Ca Eu Pt
1 1 1
Direct
0.000 0.000 0.000
0.500 0.500 0.500
0.250 0.250 0.250
```

Values from the calculation:
The value obtained for the uncorrected energy is -20.6 eV per cell. The calculation puts the energy relative to the elements at -0.75 eV/atom. The calculation puts the offset from the most stable computed form at 0 meV per atom. As for the space-group type: F-43m, No. 216. The density of states at the Fermi level is 12.9 states/eV/f.u.

Record 11
Density functional theory data (PBE-GGA) for crystalline Ca4Eu2Pt at its relaxed geometry.

POSCAR file:
```
Ca4Eu2Pt
1.0
-2.779 2.779 9.815
2.779 -2.779 9.815
2.779 2.779 -9.815
Ca Eu Pt
4 2 1
Direct
0.000 0.500 0.500
0.141 0.141 0.000
0.500 0.000 0.500
0.859 0.859 0.000
0.333 0.333 0.000
0.667 0.667 0.000
0.000 0.000 0.000
```

Values from the calculation:
The value obtained for the uncorrected energy is -35.8 eV per cell. The calculation puts the energy relative to the elements at -0.18 eV/atom. As for the space-group type: I4/mmm, No. 139. The density of states at the Fermi level is 27.7 states/eV/f.u.

Record 12
Density functional theory data (PBE-GGA) for crystalline Ca2EuPt at its relaxed geometry.

POSCAR file:
```
Ca2EuPt
1.0
1.987 1.147 10.878
-1.987 1.147 10.878
0.000 -2.295 10.878
Ca Eu Pt
2 1 1
Direct
0.116 0.116 0.116
0.884 0.884 0.884
0.000 0.000 0.000
0.500 0.500 0.500
```

Values from the calculation:
The value obtained for the uncorrected energy is -21.7 eV per cell. The calculation puts the energy relative to the elements at -0.34 eV/atom. The calculation puts the offset from the most stable computed form at 141 meV per atom. As for the space-group type: R-3m, No. 166. The density of states at the Fermi level is 2.9 states/eV/f.u.

Record 13
Density functional theory data (PBE-GGA) for crystalline CaEuPt at its relaxed geometry.

POSCAR file:
```
CaEuPt
1.0
4.224 0.000 0.000
-2.112 3.658 0.000
0.000 0.000 6.538
Ca Eu Pt
1 1 1
Direct
0.000 0.000 0.000
0.667 0.333 0.525
0.333 0.667 0.768
```

Values from the calculation:
The value obtained for the uncorrected energy is -20.3 eV per cell. The calculation puts the energy relative to the elements at -0.66 eV/atom. The calculation puts the offset from the most stable computed form at 91 meV per atom. As for the space-group type: P3m1, No. 156. The density of states at the Fermi level is 12.7 states/eV/f.u.

Record 14
Density functional theory data (PBE-GGA) for crystalline CaEuPt4 at its relaxed geometry.

POSCAR file:
```
CaEuPt4
1.0
0.000 3.877 3.877
3.877 0.000 3.877
3.877 3.877 0.000
Ca Eu Pt
1 1 4
Direct
0.000 0.000 0.000
0.750 0.750 0.750
0.375 0.375 0.375
0.375 0.375 0.875
0.375 0.875 0.375
0.875 0.375 0.375
```

Values from the calculation:
The value obtained for the uncorrected energy is -42.2 eV per cell. The calculation puts the energy relative to the elements at -0.96 eV/atom. As for the space-group type: F-43m, No. 216. The density of states at the Fermi level is 14.7 states/eV/f.u.

Record 15
Density functional theory data (PBE-GGA) for crystalline CaEuPtRh at its relaxed geometry.

POSCAR file:
```
CaEuPtRh
1.0
0.000 3.504 3.504
3.504 0.000 3.504
3.504 3.504 0.000
Ca Eu Pt Rh
1 1 1 1
Direct
0.000 0.000 0.000
0.500 0.500 0.500
0.750 0.750 0.750
0.250 0.250 0.250
```

Values from the calculation:
The value obtained for the uncorrected energy is -27.9 eV per cell. The calculation puts the energy relative to the elements at -0.57 eV/atom. As for the space-group type: F-43m, No. 216. The density of states at the Fermi level is 12.1 states/eV/f.u.